(1)
Ac2ZnRh3: optimized geometry, PBE.

Output
Its energy above the most stable polymorph in this dataset is 0 meV/atom. The calculation puts the uncorrected energy at -5.813 eV per atom. Its formation energy is -555 meV per atom.

Cell: 4.4254 4.4254 16.6894 Å, 90.00 90.00 120.00°
Last column: nearest neighbours and their distance in Å.
Element x y z (fractional)
Ac  0.0000  0.0000  0.6198  9 Rh 3.23-3.35, 3 Zn 3.35
Ac  0.0000  0.0000  0.3802  9 Rh 3.23-3.35, 3 Zn 3.35
Ac  0.0000  0.0000  0.1198  9 Rh 3.23-3.35, 3 Zn 3.35
Ac  0.0000  0.0000  0.8802  9 Rh 3.23-3.35, 3 Zn 3.35
Zn  0.6667  0.3333  0.7500  3 Rh 2.56
Zn  0.3333  0.6667  0.2500  3 Rh 2.56
Rh  0.6667  0.3333  0.2500  3 Zn 2.56
Rh  0.3333  0.6667  0.7500  3 Zn 2.56
Rh  0.6667  0.3333  0.5011  3 Rh 2.56
Rh  0.3333  0.6667  0.4989  3 Rh 2.56
Rh  0.3333  0.6667  0.0011  3 Rh 2.56
Rh  0.6667  0.3333  0.9989  3 Rh 2.56

---

(2)
TcMo2HW: optimized geometry, PBE.

Output
Its energy above the most stable polymorph in this dataset is 0 meV/atom. The calculation puts the uncorrected energy at -9.486 eV per atom.

Cell: 4.0372 4.0372 3.9746 Å, 90.00 90.00 90.00°
Last column: nearest neighbours and their distance in Å.
Element x y z (fractional)
H  0.0000  0.0000  0.0000  2 Tc 1.99, 4 Mo 2.02
Mo  0.0000  0.5000  0.0000  2 H 2.02
Mo  0.5000  0.0000  0.0000  2 H 2.02
Tc  0.0000  0.0000  0.5000  2 H 1.99
W  0.5000  0.5000  0.5000  8 Mo 2.83, 4 Tc 2.85

---

(3)
Sr3HfAl: optimized geometry, PBE.

Output
Its energy above the most stable polymorph in this dataset is 217 meV/atom. The calculation puts the uncorrected energy at -2.683 eV per atom. Its formation energy is 1065 meV per atom.

Cell: 6.0355 6.0355 6.0355 Å, 90.00 90.00 90.00°
Last column: nearest neighbours and their distance in Å.
Element x y z (fractional)
Sr  0.0000  0.5000  0.0000  2 Hf 3.02
Sr  0.0000  0.0000  0.5000  2 Hf 3.02
Sr  0.5000  0.0000  0.0000  2 Hf 3.02
Hf  0.0000  0.0000  0.0000  6 Sr 3.02
Al  0.5000  0.5000  0.5000  12 Sr 4.27

---

(4)
TbY4P5: optimized geometry, PBE.

Output
The calculation puts the uncorrected energy at -7.380 eV per atom. Its formation energy is -1626 meV per atom.

Cell: 4.0189 5.6784 10.6246 Å, 105.50 100.90 90.00°
Last column: nearest neighbours and their distance in Å.
Element x y z (fractional)
Tb  0.0000  0.0000  0.0000  6 P 2.84
Y  0.3999  0.3999  0.7998  6 P 2.84
Y  0.7998  0.7998  0.5997  6 P 2.84
Y  0.2002  0.2002  0.4003  6 P 2.84
Y  0.6001  0.6001  0.2002  6 P 2.84
P  0.6002  0.1002  0.2005  4 Y 2.84, 2 Tb 2.84
P  0.8000  0.3000  0.6000  6 Y 2.84
P  0.2000  0.7000  0.4000  6 Y 2.84
P  0.0000  0.5000  0.0000  2 Tb 2.84, 4 Y 2.84
P  0.3998  0.8998  0.7995  4 Y 2.84, 2 Tb 2.84

---

(5)
Pu5S4Cl: optimized geometry, PBE.

Output
The formation energy from raw total energies is -1634 meV/atom. The calculation puts the uncorrected energy at -10.635 eV per atom.

Cell: 3.9658 3.9658 16.3021 Å, 83.01 83.01 60.00°
Last column: nearest neighbours and their distance in Å.
Element x y z (fractional)
Pu  0.4003  0.4003  0.7991  6 S 2.79-2.81
Pu  0.0000  0.0000  0.0000  6 S 2.81
Pu  0.5997  0.5997  0.2009  6 S 2.79-2.81
Pu  0.7979  0.7979  0.6063  3 S 2.75, 3 Cl 2.86
Pu  0.2021  0.2021  0.3937  3 S 2.75, 3 Cl 2.86
S  0.9003  0.9003  0.2992  6 Pu 2.75-2.79
S  0.2998  0.2998  0.1005  6 Pu 2.81
S  0.7002  0.7002  0.8995  6 Pu 2.81
S  0.0997  0.0997  0.7008  6 Pu 2.75-2.79
Cl  0.5000  0.5000  0.5000  6 Pu 2.86

---

(6)
SrAc2BeO5: optimized geometry, PBE.

Output
The formation energy from raw total energies is -3002 meV/atom. The calculation puts the uncorrected energy at -7.270 eV per atom.

Cell: 7.1097 7.1097 7.2765 Å, 119.24 119.24 90.00°
Last column: nearest neighbours and their distance in Å.
Element x y z (fractional)
Sr  0.2500  0.2500  0.5000  2 O 2.63
Sr  0.7500  0.7500  0.5000  2 O 2.63
Ac  0.1753  0.3247  0.0000  8 O 2.50-2.71
Ac  0.6753  0.1753  0.0000  8 O 2.50-2.71
Ac  0.3247  0.8247  0.0000  8 O 2.50-2.71
Ac  0.8247  0.6753  0.0000  8 O 2.50-2.71
Be  0.2500  0.7500  0.5000  4 O 1.69
Be  0.7500  0.2500  0.5000  4 O 1.69
O  0.0186  0.5186  0.3008  1 Be 1.69
O  0.7178  0.2178  0.6992  1 Be 1.69
O  0.9814  0.4814  0.6992  1 Be 1.69
O  0.2178  0.9814  0.6992  1 Be 1.69
O  0.4814  0.7178  0.6992  1 Be 1.69
O  0.7822  0.0186  0.3008  1 Be 1.69
O  0.5186  0.2822  0.3008  1 Be 1.69
O  0.2822  0.7822  0.3008  1 Be 1.69
O  0.5000  0.5000  0.0000  4 Ac 2.62, 2 Sr 2.63
O  0.0000  0.0000  0.0000  4 Ac 2.62, 2 Sr 2.63

---

(7)
CePrTe2: optimized geometry, PBE.

Output
The formation energy from raw total energies is -1376 meV/atom. Its energy above the most stable polymorph in this dataset is 35 meV/atom. The calculation puts the uncorrected energy at -5.625 eV per atom.

Cell: 4.3889 4.3889 15.6198 Å, 90.00 90.00 120.00°
Last column: nearest neighbours and their distance in Å.
Element x y z (fractional)
Ce  0.6667  0.3333  0.2500  6 Te 3.20
Ce  0.3333  0.6667  0.7500  6 Te 3.20
Pr  0.0000  0.0000  0.5000  6 Te 3.19
Pr  0.0000  0.0000  0.0000  6 Te 3.19
Te  0.3333  0.6667  0.3754  3 Pr 3.19, 3 Ce 3.20
Te  0.6667  0.3333  0.8754  3 Pr 3.19, 3 Ce 3.20
Te  0.6667  0.3333  0.6246  3 Pr 3.19, 3 Ce 3.20
Te  0.3333  0.6667  0.1246  3 Pr 3.19, 3 Ce 3.20

---

(8)
Li3Ho2Ga4: optimized geometry, PBE.

Output
The calculation puts the uncorrected energy at -3.390 eV per atom. Its formation energy is -390 meV per atom.

Cell: 5.7238 7.4840 8.5092 Å, 90.00 109.65 90.00°
Last column: nearest neighbours and their distance in Å.
Element x y z (fractional)
Li  0.0000  0.0000  0.0000  6 Ga 2.59-2.60
Li  0.5000  0.5000  0.0000  6 Ga 2.59-2.60
Li  0.5150  0.7500  0.5301  5 Ga 2.67-2.83, 2 Li 2.86
Li  0.9850  0.2500  0.4699  5 Ga 2.67-2.83, 2 Li 2.86
Li  0.4850  0.2500  0.4699  5 Ga 2.67-2.83, 2 Li 2.86
Li  0.0150  0.7500  0.5301  5 Ga 2.67-2.83, 2 Li 2.86
Ho  0.1005  0.6004  0.2010  7 Ga 3.03-3.26, 4 Li 3.20-3.37
Ho  0.8995  0.3996  0.7990  7 Ga 3.03-3.26, 4 Li 3.20-3.37
Ho  0.3995  0.1004  0.7990  7 Ga 3.03-3.26, 4 Li 3.20-3.37
Ho  0.6005  0.8996  0.2010  7 Ga 3.03-3.26, 4 Li 3.20-3.37
Ga  0.6814  0.7500  0.8628  3 Li 2.60-2.67, 4 Ga 2.84-2.86
Ga  0.8186  0.2500  0.1372  3 Li 2.60-2.67, 4 Ga 2.84-2.86
Ga  0.3186  0.2500  0.1372  3 Li 2.60-2.67, 4 Ga 2.84-2.86
Ga  0.1814  0.7500  0.8628  3 Li 2.60-2.67, 4 Ga 2.84-2.86
Ga  0.1616  0.9902  0.3232  5 Li 2.59-2.83, 2 Ga 2.84
Ga  0.8384  0.0098  0.6768  5 Li 2.59-2.83, 2 Ga 2.84
Ga  0.3384  0.4902  0.6768  5 Li 2.59-2.83, 2 Ga 2.84
Ga  0.6616  0.5098  0.3232  5 Li 2.59-2.83, 2 Ga 2.84

---

(9)
Al2PRu2: optimized geometry, PBE.

Output
The calculation puts the uncorrected energy at -6.719 eV per atom. Its formation energy is -430 meV per atom.

Cell: 6.0869 6.0869 3.9734 Å, 90.00 90.00 90.00°
Last column: nearest neighbours and their distance in Å.
Element x y z (fractional)
Ru  0.3387  0.8387  0.0000  2 P 2.28, 2 Al 2.54
Ru  0.8387  0.6613  0.0000  2 P 2.28, 2 Al 2.54
Ru  0.6613  0.1613  0.0000  2 P 2.28, 2 Al 2.54
Ru  0.1613  0.3387  0.0000  2 P 2.28, 2 Al 2.54
Al  0.1544  0.6544  0.5000  6 Ru 2.54-2.76, 1 Al 2.66
Al  0.6544  0.8456  0.5000  6 Ru 2.54-2.76, 1 Al 2.66
Al  0.8456  0.3456  0.5000  6 Ru 2.54-2.76, 1 Al 2.66
Al  0.3456  0.1544  0.5000  6 Ru 2.54-2.76, 1 Al 2.66
P  0.0000  0.0000  0.0000  4 Ru 2.28
P  0.5000  0.5000  0.0000  4 Ru 2.28

---

(10)
Ac3Ag3RhO8: optimized geometry, PBE.

Output
The formation energy from raw total energies is -1611 meV/atom. The calculation puts the uncorrected energy at -6.138 eV per atom.

Cell: 7.4193 7.4138 6.9454 Å, 122.35 90.00 120.02°
Last column: nearest neighbours and their distance in Å.
Element x y z (fractional)
Ac  0.5000  0.0000  0.5000  6 O 2.42-2.58
Ac  0.5000  0.5000  0.5000  6 O 2.42-2.58
Ac  0.0000  0.5000  0.5000  6 O 2.42-2.58
Ag  0.0000  0.0000  0.0000  6 O 2.58-2.67
Ag  0.0000  0.5000  0.0000  6 O 2.57-2.68
Ag  0.5000  0.5000  0.0000  6 O 2.57-2.68
Rh  0.0000  0.0000  0.5000  6 O 2.10
O  0.2643  0.5285  0.2936  3 Ac 2.42, 3 Ag 2.67-2.68
O  0.7357  0.4715  0.7064  3 Ac 2.42, 3 Ag 2.67-2.68
O  0.7932  0.5864  0.2994  1 Rh 2.10
O  0.2068  0.4136  0.7006  1 Rh 2.10
O  0.7930  0.0051  0.2990  1 Rh 2.10
O  0.2070  0.9949  0.7010  1 Rh 2.10
O  0.2120  0.0051  0.2990  1 Rh 2.10
O  0.7880  0.9949  0.7010  1 Rh 2.10

---

(11)
BaLaRh: optimized geometry, PBE.

Output
Its energy above the most stable polymorph in this dataset is 0 meV/atom. The calculation puts the uncorrected energy at -5.143 eV per atom. Its formation energy is -409 meV per atom.

Cell: 4.3061 4.3061 14.3933 Å, 81.42 90.13 60.03°
Last column: nearest neighbours and their distance in Å.
Element x y z (fractional)
Ba  0.1424  0.5873  0.5724  3 Rh 3.18
Ba  0.5702  0.7303  0.8608  3 Rh 3.18
La  0.7296  0.4098  0.3405  3 Rh 2.81
La  0.9830  0.9078  0.0928  3 Rh 2.81
Rh  0.4278  0.0144  0.4326  3 La 2.81
Rh  0.2848  0.3029  0.0007  3 La 2.81